(1)
A plane-wave DFT calculation with GGA-PBE was carried out for a geometry-optimized Pa4RhCS2 structure.

Structure (POSCAR):
```
Pa4RhCS2
1.0
6.7722 0.0000 0.0000
0.0000 3.7080 0.0000
-2.0149 0.0000 6.5077
Pa Rh C S
4 1 1 2
Direct
0.2238 0.0000 0.2210
0.2385 0.5000 0.7680
0.7615 0.5000 0.2320
0.7762 0.0000 0.7790
0.0000 0.0000 0.5000
0.0000 0.5000 0.0000
0.5000 0.0000 0.0000
0.5000 0.5000 0.5000
```

Values from the calculation:
For the formation energy from raw total energies, the calculation gives -95.6 kJ/mol of atoms.



(2)
A plane-wave DFT calculation with GGA-PBE was carried out for a geometry-optimized Pa5RuC4 structure.

Structure (POSCAR):
```
Pa5RuC4
1.0
6.9376 0.0000 0.0000
0.0000 8.0424 0.0000
0.0000 0.0000 6.0915
Pa Ru C
10 2 8
Direct
0.0067 0.0751 0.2222
0.0067 0.4249 0.2222
0.2500 0.2500 0.6532
0.4933 0.0751 0.2222
0.4933 0.4249 0.2222
0.5067 0.5751 0.7778
0.5067 0.9249 0.7778
0.7500 0.7500 0.3468
0.9933 0.5751 0.7778
0.9933 0.9249 0.7778
0.2500 0.7500 0.3517
0.7500 0.2500 0.6483
0.0265 0.7500 0.1124
0.2500 0.5151 0.4855
0.2500 0.9849 0.4855
0.4735 0.7500 0.1124
0.5265 0.2500 0.8876
0.7500 0.0151 0.5145
0.7500 0.4849 0.5145
0.9735 0.2500 0.8876
```

Values from the calculation:
As for the total energy: -186.62 eV for the cell shown.



(3)
A plane-wave DFT calculation with GGA-PBE was carried out for a geometry-optimized PaRuC2 structure.

Structure (POSCAR):
```
PaRuC2
1.0
1.7273 0.9973 4.8940
-1.7273 0.9973 4.8940
0.0000 -1.9945 4.8940
Pa Ru C
1 1 2
Direct
0.0000 0.0000 0.0000
0.5000 0.5000 0.5000
0.2356 0.2356 0.2356
0.7644 0.7644 0.7644
```

Values from the calculation:
As for the total energy: -37.34 eV for the cell shown.



(4)
A plane-wave DFT calculation with GGA-PBE was carried out for a geometry-optimized Pa2RuC structure.

Structure (POSCAR):
```
Pa2RuC
1.0
1.8082 1.0439 6.6278
-1.8082 1.0439 6.6278
0.0000 -2.0879 6.6278
Pa Ru C
2 1 1
Direct
0.2391 0.2391 0.2391
0.7609 0.7609 0.7609
0.0000 0.0000 0.0000
0.5000 0.5000 0.5000
```

Values from the calculation:
As for the total energy: -38.74 eV for the cell shown.



(5)
A plane-wave DFT calculation with GGA-PBE was carried out for a geometry-optimized PaRuC structure.

Structure (POSCAR):
```
PaRuC
1.0
3.7623 0.0000 0.0000
-1.8812 3.2583 0.0000
0.0000 0.0000 3.7544
Pa Ru C
1 1 1
Direct
0.0000 0.0000 0.0000
0.6667 0.3333 0.5211
0.3333 0.6667 0.4024
```

Values from the calculation:
As for the total energy: -28.07 eV for the cell shown.



(6)
A plane-wave DFT calculation with GGA-PBE was carried out for a geometry-optimized Pa2RuC structure.

Structure (POSCAR):
```
Pa2RuC
1.0
3.1268 0.0000 0.0000
0.0000 3.1268 0.0000
0.0000 0.0000 6.8702
Pa Ru C
2 1 1
Direct
0.0000 0.0000 0.2129
0.0000 0.0000 0.7871
0.5000 0.5000 0.5000
0.5000 0.5000 0.0000
```

Values from the calculation:
As for the total energy: -37.87 eV for the cell shown.



(7)
A plane-wave DFT calculation with GGA-PBE was carried out for a geometry-optimized PaRuC structure.

Structure (POSCAR):
```
PaRuC
1.0
8.3637 0.0000 0.0000
0.0000 3.3102 0.0000
0.0000 0.0000 6.7993
Pa Ru C
4 4 4
Direct
0.1889 0.2500 0.0836
0.3111 0.7500 0.5836
0.6889 0.2500 0.4164
0.8111 0.7500 0.9164
0.0341 0.2500 0.6735
0.4659 0.7500 0.1735
0.5341 0.2500 0.8265
0.9659 0.7500 0.3265
0.1001 0.7500 0.8405
0.3999 0.2500 0.3405
0.6001 0.7500 0.6595
0.8999 0.2500 0.1595
```

Values from the calculation:
As for the total energy: -116.13 eV for the cell shown.



(8)
A plane-wave DFT calculation with GGA-PBE was carried out for a geometry-optimized PaRuC structure.

Structure (POSCAR):
```
PaRuC
1.0
-1.9634 1.9634 3.3207
1.9634 -1.9634 3.3207
1.9634 1.9634 -3.3207
Pa Ru C
1 1 1
Direct
0.0000 0.0000 0.0000
0.6320 0.6320 0.0000
0.3407 0.3407 0.0000
```

Values from the calculation:
As for the total energy: -26.55 eV for the cell shown.



(9)
A plane-wave DFT calculation with GGA-PBE was carried out for a geometry-optimized Pa2Sb2Ru4C structure.

Structure (POSCAR):
```
Pa2Sb2Ru4C
1.0
-3.0879 3.0879 4.1754
3.0879 -3.0879 4.1754
3.0879 3.0879 -4.1754
Pa Sb Ru C
2 2 4 1
Direct
0.2206 0.2206 0.0000
0.7794 0.7794 0.0000
0.2500 0.7500 0.5000
0.7500 0.2500 0.5000
0.2507 0.2507 0.5015
0.2507 0.7493 0.0000
0.7493 0.2507 0.0000
0.7493 0.7493 0.4985
0.5000 0.5000 0.0000
```

Values from the calculation:
For the formation energy from raw total energies, the calculation gives -11.3 kJ/mol of atoms.



(10)
A plane-wave DFT calculation with GGA-PBE was carried out for a geometry-optimized PaSiRuC structure.

Structure (POSCAR):
```
PaSiRuC
1.0
3.8993 0.0000 0.0000
0.0000 3.8993 0.0000
0.0000 0.0000 8.2214
Pa Si Ru C
2 2 2 2
Direct
0.2500 0.2500 0.1637
0.7500 0.7500 0.8363
0.2500 0.2500 0.6614
0.7500 0.7500 0.3386
0.2500 0.7500 0.5000
0.7500 0.2500 0.5000
0.2500 0.2500 0.8873
0.7500 0.7500 0.1127
```

Values from the calculation:
For the formation energy from raw total energies, the calculation gives -49.6 kJ/mol of atoms.



(11)
A plane-wave DFT calculation with GGA-PBE was carried out for a geometry-optimized PaSiRu2C structure.

Structure (POSCAR):
```
PaSiRu2C
1.0
1.9149 -5.6773 0.0000
1.9149 5.6773 0.0000
0.0000 0.0000 7.0258
Pa Si Ru C
2 2 4 2
Direct
0.0556 0.9444 0.7500
0.9444 0.0556 0.2500
0.2256 0.7744 0.2500
0.7744 0.2256 0.7500
0.3361 0.6639 0.5526
0.3361 0.6639 0.9474
0.6639 0.3361 0.0526
0.6639 0.3361 0.4474
0.5000 0.5000 0.0000
0.5000 0.5000 0.5000
```

Values from the calculation:
For the formation energy from raw total energies, the calculation gives -51.5 kJ/mol of atoms.



(12)
A plane-wave DFT calculation with GGA-PBE was carried out for a geometry-optimized SmPa2RuC4 structure.

Structure (POSCAR):
```
SmPa2RuC4
1.0
1.7934 -5.9297 0.0000
1.7934 5.9297 0.0000
0.0000 0.0000 11.9288
Sm Pa Ru C
2 4 2 8
Direct
0.1134 0.8866 0.7500
0.8866 0.1134 0.2500
0.3676 0.6324 0.5442
0.3676 0.6324 0.9558
0.6324 0.3676 0.0442
0.6324 0.3676 0.4558
0.1502 0.8498 0.2500
0.8498 0.1502 0.7500
0.0000 0.0000 0.0000
0.0000 0.0000 0.5000
0.2632 0.7368 0.1248
0.2632 0.7368 0.3752
0.4320 0.5680 0.7500
0.5680 0.4320 0.2500
0.7368 0.2632 0.6248
0.7368 0.2632 0.8752
```

Values from the calculation:
As for the total energy: -142.01 eV for the cell shown.



(13)
A plane-wave DFT calculation with GGA-PBE was carried out for a geometry-optimized Pa2Sn2Ru4C structure.

Structure (POSCAR):
```
Pa2Sn2Ru4C
1.0
-3.1144 3.1144 4.0890
3.1144 -3.1144 4.0890
3.1144 3.1144 -4.0890
Pa Sn Ru C
2 2 4 1
Direct
0.2184 0.2184 0.0000
0.7816 0.7816 0.0000
0.2500 0.7500 0.5000
0.7500 0.2500 0.5000
0.2527 0.2527 0.5053
0.2527 0.7473 0.0000
0.7473 0.2527 0.0000
0.7473 0.7473 0.4947
0.5000 0.5000 0.0000
```

Values from the calculation:
As for the total energy: -74.55 eV for the cell shown.



(14)
A plane-wave DFT calculation with GGA-PBE was carried out for a geometry-optimized PaTa2RuC4 structure.

Structure (POSCAR):
```
PaTa2RuC4
1.0
1.6334 -5.6368 0.0000
1.6334 5.6368 0.0000
0.0000 0.0000 10.9854
Pa Ta Ru C
2 4 2 8
Direct
0.1090 0.8910 0.7500
0.8910 0.1090 0.2500
0.3716 0.6284 0.5420
0.3716 0.6284 0.9580
0.6284 0.3716 0.0420
0.6284 0.3716 0.4580
0.1512 0.8488 0.2500
0.8488 0.1512 0.7500
0.0000 0.0000 0.0000
0.0000 0.0000 0.5000
0.2699 0.7301 0.1169
0.2699 0.7301 0.3831
0.4484 0.5516 0.7500
0.5516 0.4484 0.2500
0.7301 0.2699 0.6169
0.7301 0.2699 0.8831
```

Values from the calculation:
As for the total energy: -162.62 eV for the cell shown.



(15)
A plane-wave DFT calculation with GGA-PBE was carried out for a geometry-optimized PaTcRu2C structure.

Structure (POSCAR):
```
PaTcRu2C
1.0
4.1632 0.0000 0.0000
0.0000 4.1632 0.0000
0.0000 0.0000 4.2387
Pa Tc Ru C
1 1 2 1
Direct
0.0000 0.0000 0.0000
0.5000 0.5000 0.0000
0.0000 0.5000 0.5000
0.5000 0.0000 0.5000
0.5000 0.5000 0.5000
```

Values from the calculation:
As for the total energy: -49.30 eV for the cell shown.



(16)
A plane-wave DFT calculation with GGA-PBE was carried out for a geometry-optimized ThPa2RuC4 structure.

Structure (POSCAR):
```
ThPa2RuC4
1.0
1.7926 -6.0455 0.0000
1.7926 6.0455 0.0000
0.0000 0.0000 11.6451
Th Pa Ru C
2 4 2 8
Direct
0.1077 0.8923 0.7500
0.8923 0.1077 0.2500
0.3679 0.6321 0.5492
0.3679 0.6321 0.9508
0.6321 0.3679 0.0492
0.6321 0.3679 0.4508
0.1503 0.8497 0.2500
0.8497 0.1503 0.7500
0.0000 0.0000 0.0000
0.0000 0.0000 0.5000
0.2682 0.7318 0.1245
0.2682 0.7318 0.3755
0.4484 0.5516 0.7500
0.5516 0.4484 0.2500
0.7318 0.2682 0.6245
0.7318 0.2682 0.8755
```

Values from the calculation:
As for the total energy: -148.74 eV for the cell shown.



(17)
A plane-wave DFT calculation with GGA-PBE was carried out for a geometry-optimized TmPa2RuC4 structure.

Structure (POSCAR):
```
TmPa2RuC4
1.0
1.7683 -5.8669 0.0000
1.7683 5.8669 0.0000
0.0000 0.0000 11.7750
Tm Pa Ru C
2 4 2 8
Direct
0.1191 0.8809 0.7500
0.8809 0.1191 0.2500
0.3671 0.6329 0.5443
0.3671 0.6329 0.9557
0.6329 0.3671 0.0443
0.6329 0.3671 0.4557
0.1434 0.8566 0.2500
0.8566 0.1434 0.7500
0.0000 0.0000 0.0000
0.0000 0.0000 0.5000
0.2665 0.7335 0.1292
0.2665 0.7335 0.3708
0.4454 0.5546 0.7500
0.5546 0.4454 0.2500
0.7335 0.2665 0.6292
0.7335 0.2665 0.8708
```

Values from the calculation:
As for the total energy: -141.16 eV for the cell shown.



(18)
A plane-wave DFT calculation with GGA-PBE was carried out for a geometry-optimized U2PaRuC4 structure.

Structure (POSCAR):
```
U2PaRuC4
1.0
1.7059 -5.8878 0.0000
1.7059 5.8878 0.0000
0.0000 0.0000 11.5193
U Pa Ru C
4 2 2 8
Direct
0.1321 0.8679 0.5521
0.1321 0.8679 0.9479
0.8679 0.1321 0.0521
0.8679 0.1321 0.4479
0.3932 0.6068 0.7500
0.6068 0.3932 0.2500
0.3473 0.6527 0.2500
0.6527 0.3473 0.7500
0.0445 0.9555 0.7500
0.2236 0.7764 0.1234
0.2236 0.7764 0.3766
0.5000 0.5000 0.0000
0.5000 0.5000 0.5000
0.7764 0.2236 0.6234
0.7764 0.2236 0.8766
0.9555 0.0445 0.2500
```

Values from the calculation:
As for the total energy: -158.46 eV for the cell shown.



(19)
A plane-wave DFT calculation with GGA-PBE was carried out for a geometry-optimized UPa2RuC4 structure.

Structure (POSCAR):
```
UPa2RuC4
1.0
1.7185 -5.8887 0.0000
1.7185 5.8887 0.0000
0.0000 0.0000 11.6989
U Pa Ru C
2 4 2 8
Direct
0.1088 0.8912 0.7500
0.8912 0.1088 0.2500
0.3667 0.6333 0.5521
0.3667 0.6333 0.9479
0.6333 0.3667 0.0521
0.6333 0.3667 0.4479
0.1495 0.8505 0.2500
0.8505 0.1495 0.7500
0.0000 0.0000 0.0000
0.0000 0.0000 0.5000
0.2825 0.7175 0.1344
0.2825 0.7175 0.3656
0.4614 0.5386 0.7500
0.5386 0.4614 0.2500
0.7175 0.2825 0.6344
0.7175 0.2825 0.8656
```

Values from the calculation:
As for the total energy: -154.97 eV for the cell shown.



(20)
A plane-wave DFT calculation with GGA-PBE was carried out for a geometry-optimized Zr2PaRuC4 structure.

Structure (POSCAR):
```
Zr2PaRuC4
1.0
1.6918 -5.7503 0.0000
1.6918 5.7503 0.0000
0.0000 0.0000 11.2777
Zr Pa Ru C
4 2 2 8
Direct
0.1316 0.8684 0.5423
0.1316 0.8684 0.9577
0.8684 0.1316 0.0423
0.8684 0.1316 0.4577
0.3867 0.6133 0.7500
0.6133 0.3867 0.2500
0.3547 0.6453 0.2500
0.6453 0.3547 0.7500
0.0513 0.9487 0.7500
0.2323 0.7677 0.1266
0.2323 0.7677 0.3734
0.5000 0.5000 0.0000
0.5000 0.5000 0.5000
0.7677 0.2323 0.6266
0.7677 0.2323 0.8734
0.9487 0.0513 0.2500
```

Values from the calculation:
As for the total energy: -150.58 eV for the cell shown.



(21)
A plane-wave DFT calculation with GGA-PBE was carried out for a geometry-optimized PaCS structure.

Structure (POSCAR):
```
PaCS
1.0
3.4677 -1.9035 0.0000
3.4677 1.9035 0.0000
-1.5866 0.0000 9.9167
Pa C S
2 2 2
Direct
0.0893 0.0893 0.3507
0.9107 0.9107 0.6493
0.4107 0.4107 0.4575
0.5893 0.5893 0.5425
0.2839 0.2839 0.8032
0.7161 0.7161 0.1968
```

Values from the calculation:
For the formation energy from raw total energies, the calculation gives -97.1 kJ/mol of atoms.



(22)
A plane-wave DFT calculation with GGA-PBE was carried out for a geometry-optimized Pa5CS5 structure.

Structure (POSCAR):
```
Pa5CS5
1.0
6.0396 -2.7038 0.0000
6.0396 2.7038 0.0000
-2.4488 0.0000 7.2209
Pa C S
5 1 5
Direct
0.0000 0.0000 0.0000
0.3419 0.3419 0.1554
0.3426 0.3426 0.6868
0.6574 0.6574 0.3132
0.6581 0.6581 0.8446
0.5000 0.5000 0.0000
0.1570 0.1570 0.8145
0.1703 0.1703 0.3396
0.5000 0.5000 0.5000
0.8297 0.8297 0.6604
0.8430 0.8430 0.1855
```

Values from the calculation:
For the formation energy from raw total energies, the calculation gives -136.1 kJ/mol of atoms.